# YTe2Au

A geometry-optimized YTe2Au structure (PBEsol, Alexandria via LeMat-Bulk).

Output
* magnetization: 0.000 μB/cell
* uncorrected formation energy: -0.831 eV per atom
* E_tot: -21.1 eV per cell
* N(E_F): 0.952 states/eV/f.u.

a b c (Å): 7.699 7.699 7.699
angles (deg): 150.24 149.86 42.87
Sites, in units of the cell vectors:
Y 0.000 0.000 0.000
Te 0.585 0.585 0.000
Te 0.828 0.328 0.500
Au 0.334 0.834 0.500